No. 1
4
Lattice="-2.6258 -1.5294 0.0291 0.4981 -0.8001 2.8890 -2.8928 5.0024 1.8842" Properties=species:S:1:pos:R:3 comment="VCrAs2 PBE-GGA optimized geometry" polymorph_energy_mev_per_atom=293.9 crystal_system=tetragonal final_energy_ev_per_atom=-7.052 e_form_ev_per_fu=-0.17 pbc="T T T"
V -2.5102 1.3364 2.4012
As -0.7178 1.2413 0.4675
As -2.1750 3.7611 1.4167
Cr -1.0638 -1.1648 1.4591

***

No. 2
4
Lattice="0.9181 -4.4032 -2.7689 -0.8835 -4.7266 2.1856 -4.0424 -2.9648 -1.6634" Properties=species:S:1:pos:R:3 comment="Y2HgBr PBE-GGA optimized geometry" polymorph_energy_mev_per_atom=174.2 raw_formation_energy_mev_per_atom=-551 crystal_system=cubic final_energy_ev_per_atom=-4.277 pbc="T T T"
Br 0.0000 0.0000 0.0000
Y -1.0019 -3.0236 -0.5617
Y -3.0058 -9.0709 -1.6850
Hg -2.0039 -6.0473 -1.1233